[1]
# SrTl4Co (GGA-PBE, optimized geometry)
data_SrTl4Co
_chemical_formula_sum 'Sr4 Tl16 Co4'
_symmetry_space_group_name_H-M 'F -4 3 m'
_symmetry_Int_Tables_number 216
_symmetry_space_group_name_Hall 'F -4 2 3'
_cell_length_a 8.9430
_cell_length_b 8.9430
_cell_length_c 8.9430
_cell_angle_alpha 90.00
_cell_angle_beta 90.00
_cell_angle_gamma 90.00
loop_
_atom_site_label
_atom_site_type_symbol
_atom_site_fract_x
_atom_site_fract_y
_atom_site_fract_z
Sr1 Sr 0.0000 0.0000 0.0000
Tl1 Tl 0.1241 0.1241 0.6241
Co1 Co 0.2500 0.2500 0.2500
# Formation energy from the elements   0.40 eV per atom

---

[2]
# KNb6O12 (GGA-PBE, optimized geometry)
data_KNb6O12
_chemical_formula_sum 'K3 Nb18 O36'
_symmetry_space_group_name_H-M 'R -3'
_symmetry_Int_Tables_number 148
_symmetry_space_group_name_Hall '-R 3'
_cell_length_a 12.0183
_cell_length_b 12.0183
_cell_length_c 7.2472
_cell_angle_alpha 90.00
_cell_angle_beta 90.00
_cell_angle_gamma 120.00
loop_
_atom_site_label
_atom_site_type_symbol
_atom_site_fract_x
_atom_site_fract_y
_atom_site_fract_z
K1 K 0.0000 0.0000 0.0000
Nb1 Nb 0.0456 0.8386 0.3924
O1 O 0.0052 0.5831 0.8524
O2 O 0.0353 0.8897 0.6762
# Excess energy over the best structure of this formula in the dataset   0 meV per atom

---

[3]
# K2LiSb2 (GGA-PBE, optimized geometry)
data_K2LiSb2
_chemical_formula_sum 'K4 Li2 Sb4'
_symmetry_space_group_name_H-M 'I 4/m m m'
_symmetry_Int_Tables_number 139
_symmetry_space_group_name_Hall '-I 4 2'
_cell_length_a 5.0527
_cell_length_b 5.0527
_cell_length_c 15.0335
_cell_angle_alpha 90.00
_cell_angle_beta 90.00
_cell_angle_gamma 90.00
loop_
_atom_site_label
_atom_site_type_symbol
_atom_site_fract_x
_atom_site_fract_y
_atom_site_fract_z
K1 K 0.0000 0.5000 0.2500
Li1 Li 0.0000 0.0000 0.0000
Sb1 Sb 0.0000 0.0000 0.4092
# Excess energy over the best structure of this formula in the dataset   335 meV per atom

---

[4]
# MnCrOs2 (GGA-PBE, optimized geometry)
data_MnCrOs2
_chemical_formula_sum 'Mn2 Cr2 Os4'
_symmetry_space_group_name_H-M 'A m m 2'
_symmetry_Int_Tables_number 38
_cell_length_a 4.0024
_cell_length_b 2.6674
_cell_length_c 9.6319
_cell_angle_alpha 90.00
_cell_angle_beta 90.00
_cell_angle_gamma 90.00
loop_
_symmetry_equiv_pos_as_xyz
'x,y,z'
'-x,-y,z'
'-x,y,z'
'x,-y,z'
'x,y+1/2,z+1/2'
'-x,-y+1/2,z+1/2'
'-x,y+1/2,z+1/2'
'x,-y+1/2,z+1/2'
loop_
_atom_site_label
_atom_site_type_symbol
_atom_site_fract_x
_atom_site_fract_y
_atom_site_fract_z
Mn1 Mn 0.0000 0.0000 0.0000
Cr1 Cr 0.5000 0.0000 0.8853
Os1 Os 0.0000 0.0000 0.2660
Os2 Os 0.5000 0.0000 0.6182
# Formation energy from the elements   0.04 eV per atom